Material: ErScCdOs
Method: DFT, PBE-GGA
State: optimized geometry

abc: 3.3476 3.3476 7.4925
angles: 90.00 90.00 90.00
Last column: nearest neighbours and their distance in Å.
Sites, in units of the cell vectors:
Er (0.5000, 0.5000, 0.7822)  4 Os 2.92, 1 Sc 3.18
Sc (0.5000, 0.5000, 0.3584)  4 Os 2.79, 4 Cd 3.11
Cd (0.0000, 0.0000, 0.0895)  4 Sc 3.11, 4 Er 3.30, 4 Cd 3.35
Os (0.0000, 0.0000, 0.5546)  4 Sc 2.79, 4 Er 2.92

Output
- formation energy (eV/atom) = -0.389

***

Material: Cs2Cu2Cl5
Method: DFT, PBE-GGA
State: optimized geometry

abc: 6.9538 6.9861 12.0431
angles: 106.86 106.78 90.00
Last column: nearest neighbours and their distance in Å.
Sites, in units of the cell vectors:
Cs (0.0900, 0.6308, 0.2428)  10 Cl 3.37-3.73
Cs (0.9100, 0.3880, 0.7572)  10 Cl 3.37-3.73
Cs (0.6528, 0.1308, 0.2428)  10 Cl 3.37-3.73
Cs (0.3472, 0.8880, 0.7572)  10 Cl 3.37-3.73
Cu (0.0000, 0.0098, 0.0000)  4 Cl 2.46-2.47
Cu (0.5000, 0.5098, 0.0000)  4 Cl 2.46
Cu (0.2259, 0.2596, 0.5000)  4 Cl 2.22-2.35
Cu (0.7741, 0.7596, 0.5000)  4 Cl 2.22-2.35
Cl (0.2509, 0.7606, 0.0019)  2 Cu 2.46-2.47
Cl (0.7491, 0.7588, 0.9981)  2 Cu 2.46-2.47
Cl (0.2510, 0.2606, 0.0019)  2 Cu 2.46
Cl (0.7490, 0.2588, 0.9981)  2 Cu 2.46
Cl (0.2084, 0.1615, 0.3045)  1 Cu 2.22
Cl (0.7916, 0.8570, 0.6955)  1 Cu 2.22
Cl (0.5961, 0.6615, 0.3045)  1 Cu 2.22
Cl (0.4039, 0.3570, 0.6955)  1 Cu 2.22
Cl (0.0005, 0.5099, 0.5000)  2 Cu 2.35
Cl (0.9995, 0.0099, 0.5000)  2 Cu 2.35

Output
- uncorrected formation energy (eV per atom) = -1.164

***

Material: MoPt2Pb
Method: DFT, PBE-GGA
State: optimized geometry

abc: 6.3838 5.1075 2.9494
angles: 90.09 62.32 119.39
Last column: nearest neighbours and their distance in Å.
Sites, in units of the cell vectors:
Mo (0.0000, 0.5000, 0.5000)  2 Pb 2.83, 8 Pt 2.95, 2 Mo 2.95
Pb (0.5000, 0.5000, 0.0000)  2 Mo 2.83, 8 Pt 2.95, 2 Pb 2.95
Pt (0.0000, 0.0000, 0.0000)  4 Pt 2.83-2.95, 4 Pb 2.95, 4 Mo 2.95
Pt (0.5000, 0.0000, 0.5000)  4 Pt 2.83-2.95, 4 Mo 2.95, 4 Pb 2.95

Output
- formation energy (eV/atom) = 0.175

***

Material: KTe3Pd3
Method: DFT, PBE-GGA
State: optimized geometry

abc: 7.2846 7.2846 9.8330
angles: 68.26 68.26 60.00
Last column: nearest neighbours and their distance in Å.
Sites, in units of the cell vectors:
K (0.3329, 0.3329, 0.0013)  6 Te 3.52-3.53
K (0.6671, 0.6671, 0.9987)  6 Te 3.52-3.53
Te (0.4219, 0.7667, 0.7152)  4 Pd 2.65-2.74
Te (0.7667, 0.0963, 0.7152)  4 Pd 2.65-2.74
Te (0.0963, 0.4219, 0.7152)  4 Pd 2.65-2.74
Te (0.9037, 0.5781, 0.2848)  4 Pd 2.65-2.74
Te (0.2333, 0.9037, 0.2848)  4 Pd 2.65-2.74
Te (0.5781, 0.2333, 0.2848)  4 Pd 2.65-2.74
Pd (0.2012, 0.5260, 0.4069)  4 Te 2.65-2.74, 3 Pd 2.93-2.95
Pd (0.8658, 0.2012, 0.4069)  4 Te 2.65-2.74, 3 Pd 2.93-2.95
Pd (0.5260, 0.8658, 0.4069)  4 Te 2.65-2.74, 3 Pd 2.93-2.95
Pd (0.4740, 0.1342, 0.5931)  4 Te 2.65-2.74, 3 Pd 2.93-2.95
Pd (0.1342, 0.7988, 0.5931)  4 Te 2.65-2.74, 3 Pd 2.93-2.95
Pd (0.7988, 0.4740, 0.5931)  4 Te 2.65-2.74, 3 Pd 2.93-2.95

Output
- uncorrected formation energy (eV per atom) = -0.421

***

Material: NdRe2O8
Method: DFT, PBE-GGA
State: optimized geometry

abc: 6.0855 6.1848 6.1848
angles: 56.36 75.06 75.06
Last column: nearest neighbours and their distance in Å.
Sites, in units of the cell vectors:
Nd (0.0000, 0.0000, 0.0000)  6 O 2.39-2.47
Re (0.6851, 0.7998, 0.7998)  4 O 1.75-1.80
Re (0.3149, 0.2002, 0.2002)  4 O 1.75-1.80
O (0.1978, 0.3527, 0.9027)  1 Re 1.79
O (0.8022, 0.0973, 0.6473)  1 Re 1.79
O (0.3760, 0.8501, 0.8501)  1 Re 1.80
O (0.6240, 0.1499, 0.1499)  1 Re 1.80
O (0.1978, 0.9027, 0.3527)  1 Re 1.79
O (0.8022, 0.6473, 0.0973)  1 Re 1.79
O (0.7938, 0.6327, 0.6327)  1 Re 1.75
O (0.2062, 0.3673, 0.3673)  1 Re 1.75

Output
- uncorrected formation energy (eV per atom) = -1.878

***

Material: YAl8Ni3
Method: DFT, PBE-GGA
State: optimized geometry

abc: 8.1202 8.1202 6.2288
angles: 90.00 90.00 151.20
Last column: nearest neighbours and their distance in Å.
Sites, in units of the cell vectors:
Y (0.1245, 0.8755, 0.0000)  11 Al 2.92-3.23, 2 Ni 3.25
Al (0.6917, 0.3083, 0.2938)  4 Ni 2.36-2.46, 1 Al 2.57
Al (0.3266, 0.6734, 0.2260)  5 Ni 2.41-2.64
Al (0.6917, 0.3083, 0.7062)  4 Ni 2.36-2.46, 1 Al 2.57
Al (0.3266, 0.6734, 0.7740)  5 Ni 2.41-2.64
Al (0.0700, 0.9300, 0.5000)  1 Ni 2.34
Al (0.9331, 0.0669, 0.0000)  1 Ni 2.31
Al (0.5031, 0.4969, 0.2597)  7 Al 2.72-2.99
Al (0.5031, 0.4969, 0.7403)  7 Al 2.72-2.99
Ni (0.2185, 0.7815, 0.5000)  7 Al 2.34-2.43
Ni (0.7861, 0.2139, 0.0000)  7 Al 2.31-2.54
Ni (0.8250, 0.1750, 0.5000)  6 Al 2.46-2.64, 2 Ni 2.62

Output
- formation energy (eV/atom) = -0.328

***

Material: Re2NiTe
Method: DFT, PBE-GGA
State: optimized geometry

abc: 8.8329 8.8329 8.8329
angles: 19.10 19.10 19.10
Last column: nearest neighbours and their distance in Å.
Sites, in units of the cell vectors:
Ni (0.7476, 0.7476, 0.7476)  3 Re 2.67, 3 Te 2.69, 6 Ni 2.93
Re (0.0016, 0.0016, 0.0016)  9 Re 2.66-2.93, 3 Ni 2.67
Re (0.2562, 0.2562, 0.2562)  9 Re 2.66-2.93
Te (0.4946, 0.4946, 0.4946)  3 Ni 2.69, 6 Te 2.93, 3 Re 3.00

Output
- uncorrected formation energy (eV per atom) = 0.508

***

Material: CaTc2Rh
Method: DFT, PBE-GGA
State: optimized geometry

abc: 3.0314 3.0314 7.6640
angles: 90.00 90.00 90.00
Last column: nearest neighbours and their distance in Å.
Sites, in units of the cell vectors:
Ca (0.0000, 0.0000, 0.5091)  4 Rh 3.00, 4 Ca 3.03, 4 Tc 3.23
Rh (0.5000, 0.5000, 0.7833)  4 Tc 2.78, 4 Ca 3.00, 4 Rh 3.03
Tc (0.0000, 0.0000, 0.0145)  4 Tc 2.54, 4 Rh 2.78
Tc (0.5000, 0.5000, 0.1931)  4 Tc 2.54

Output
- formation energy (eV/atom) = 0.170

***

Sequential total energy output: -6.149 -3.290 -6.480 -4.149 -8.181 -4.807 -7.947 -7.351 eV per atom